[1]
! LaBeCu12 | Alexandria via LeMat-Bulk | PBEsol | relaxed; values from VASP
&SYSTEM
  ibrav = 0, nat = 28, ntyp = 3
/
ATOMIC_SPECIES
La 138.91 La.upf
Be 9.01 Be.upf
Cu 63.55 Cu.upf
ATOMIC_POSITIONS crystal
La 0.250 0.250 0.250
La 0.750 0.750 0.750
Be 0.000 0.000 0.000
Be 0.500 0.500 0.500
Cu 0.062 0.293 0.707
Cu 0.062 0.707 0.938
Cu 0.062 0.938 0.293
Cu 0.207 0.438 0.793
Cu 0.207 0.562 0.438
Cu 0.207 0.793 0.562
Cu 0.293 0.062 0.938
Cu 0.293 0.707 0.062
Cu 0.293 0.938 0.707
Cu 0.438 0.207 0.562
Cu 0.438 0.562 0.793
Cu 0.438 0.793 0.207
Cu 0.562 0.207 0.793
Cu 0.562 0.438 0.207
Cu 0.562 0.793 0.438
Cu 0.707 0.062 0.293
Cu 0.707 0.293 0.938
Cu 0.707 0.938 0.062
Cu 0.793 0.207 0.438
Cu 0.793 0.438 0.562
Cu 0.793 0.562 0.207
Cu 0.938 0.062 0.707
Cu 0.938 0.293 0.062
Cu 0.938 0.707 0.293
CELL_PARAMETERS angstrom
0.000 5.654 5.654
5.654 0.000 5.654
5.654 5.654 0.000
! symmetry	No. 226

=====

[2]
! LaBeCu2 | Alexandria via LeMat-Bulk | PBEsol | relaxed; values from VASP
&SYSTEM
  ibrav = 0, nat = 12, ntyp = 3
/
ATOMIC_SPECIES
La 138.91 La.upf
Be 9.01 Be.upf
Cu 63.55 Cu.upf
ATOMIC_POSITIONS crystal
La 0.000 0.000 0.000
La 0.333 0.667 0.667
La 0.667 0.333 0.333
Be 0.000 0.000 0.500
Be 0.333 0.667 0.167
Be 0.667 0.333 0.833
Cu 0.000 0.000 0.195
Cu 0.000 0.000 0.805
Cu 0.333 0.667 0.472
Cu 0.333 0.667 0.861
Cu 0.667 0.333 0.139
Cu 0.667 0.333 0.528
CELL_PARAMETERS angstrom
4.017 0.000 0.000
-2.009 3.479 0.000
0.000 0.000 14.733
! symmetry	No. 166

=====

[3]
! LaBe2Cu | Alexandria via LeMat-Bulk | PBEsol | relaxed; values from VASP
&SYSTEM
  ibrav = 0, nat = 4, ntyp = 3
/
ATOMIC_SPECIES
La 138.91 La.upf
Be 9.01 Be.upf
Cu 63.55 Cu.upf
ATOMIC_POSITIONS crystal
La 0.000 0.000 0.000
Be 0.000 0.500 0.500
Be 0.500 0.500 0.000
Cu 0.500 0.000 0.500
CELL_PARAMETERS angstrom
3.146 0.000 0.000
0.000 4.597 0.000
0.000 0.000 4.607
! symmetry	No. 47

=====

Number 1: total energy -4.473 eV per atom, DOS at the Fermi energy 10.375 states/eV/cell, V 361.5 Å³ per cell. Number 2: total energy -4.596 eV per atom, DOS at the Fermi energy 8.653 states/eV/cell, V 205.9 Å³ per cell. Number 3: total energy -3.800 eV per atom, DOS at the Fermi energy 2.180 states/eV/cell, V 66.6 Å³ per cell.